# 1
The following is a PBE calculation of CaSnH8Rh2 after structural relaxation, from the Alexandria database.

Cell lengths 4.6482, 4.6482, 17.5473 Å; angles 90.00, 90.00, 120.00 degrees
Space group R-3m (No. 166, hexagonal axes)
Unique sites:
Ca: 0.0000 0.0000 0.0000 [3 per cell]
Sn: 0.0000 0.0000 0.5000 [3 per cell]
H: 0.0000 0.0000 0.3165 [6 per cell]
H: 0.0276 0.5138 0.0660 [18 per cell]
Rh: 0.0000 0.0000 0.2228 [6 per cell]

Summary:
- Electronic total energy: -4.0237 eV per atom


# 2
The following is a PBE calculation of Y2RhI after structural relaxation, from the Alexandria database.

Cell lengths 7.326, 7.326, 7.326 Å; angles 90.00, 90.00, 90.00 degrees
Space group Fm-3m (No. 225)
Unique sites:
Y: 0.250 0.250 0.250 [8 per cell]
Rh: 0.000 0.000 0.000 [4 per cell]
I: 0.000 0.000 0.500 [4 per cell]

Summary:
- Distance to the lowest polymorph of the same formula: 0.5358 eV/atom
- ΔE_f (raw): -0.383 eV/atom


# 3
The following is a PBE calculation of Be2TlZn after structural relaxation, from the Alexandria database.

Cell lengths 2.863, 5.467, 8.283 Å; angles 90.00, 90.00, 90.00 degrees
Space group Immm (No. 71)
Unique sites:
Be: 0.000 0.000 0.230 [4 per cell]
Tl: 0.000 0.500 0.000 [2 per cell]
Zn: 0.000 0.500 0.500 [2 per cell]

Summary:
- DFT formation energy: 0.678 eV/atom
- Distance to the lowest polymorph of the same formula: 0.3859 eV/atom


# 4
The following is a PBE calculation of ScSnIr2 after structural relaxation, from the Alexandria database.

Cell lengths 4.303, 4.303, 3.671 Å; angles 90.00, 90.00, 90.00 degrees
Space group P4/mmm (No. 123)
Unique sites:
Sc: 0.000 0.000 0.000 [1 per cell]
Sn: 0.500 0.500 0.000 [1 per cell]
Ir: 0.000 0.500 0.500 [2 per cell]

Summary:
- DFT formation energy: -0.660 eV/atom


# 5
The following is a PBE calculation of CdTe2 after structural relaxation, from the Alexandria database.

Cell lengths 4.3399, 4.3399, 17.2010 Å; angles 90.00, 90.00, 120.00 degrees
Space group R3m (No. 160, hexagonal axes)
Unique sites:
Cd: 0.0000 0.0000 0.0000 [3 per cell]
Te: 0.0000 0.0000 0.2382 [3 per cell]
Te: 0.0000 0.0000 0.4318 [3 per cell]

Summary:
- ΔE_f (raw): -0.035 eV/atom


# 6
The following is a PBE calculation of Rb2LaWI6 after structural relaxation, from the Alexandria database.

Cell lengths 11.857, 11.857, 11.857 Å; angles 90.00, 90.00, 90.00 degrees
Space group Fm-3m (No. 225)
Unique sites:
Rb: 0.250 0.250 0.250 [8 per cell]
La: 0.000 0.000 0.000 [4 per cell]
W: 0.000 0.000 0.500 [4 per cell]
I: 0.000 0.000 0.265 [24 per cell]

Summary:
- ΔE_f (raw): -0.715 eV/atom


# 7
The following is a PBE calculation of Dy3BiN after structural relaxation, from the Alexandria database.

Cell lengths 12.155, 6.587, 8.640 Å; angles 90.00, 133.20, 90.00 degrees
Space group C2/m (No. 12)
Unique sites:
Dy: 0.048 0.000 0.324 [4 per cell]
Dy: 0.228 0.249 0.165 [8 per cell]
Bi: 0.081 0.500 0.340 [4 per cell]
N: 0.201 0.000 0.947 [4 per cell]

Summary:
- ΔE_f (raw): -0.861 eV/atom


# 8
The following is a PBE calculation of LiReC2 after structural relaxation, from the Alexandria database.

Cell lengths 5.205, 5.205, 5.205 Å; angles 90.00, 90.00, 90.00 degrees
Space group Fm-3m (No. 225)
Unique sites:
Li: 0.000 0.000 0.000 [4 per cell]
Re: 0.000 0.000 0.500 [4 per cell]
C: 0.250 0.250 0.250 [8 per cell]

Summary:
- DFT formation energy: 1.182 eV/atom
- Distance to the lowest polymorph of the same formula: 0.5694 eV/atom


# 9
The following is a PBE calculation of Sm2B3Os2 after structural relaxation, from the Alexandria database.

Cell lengths 3.644, 4.867, 7.032 Å; angles 94.59, 90.08, 111.97 degrees
Space group P-1 (No. 2)
Unique sites:
Sm: 0.133 0.263 0.337 [2 per cell]
B: 0.000 0.000 0.000 [1 per cell]
B: 0.188 0.376 0.806 [2 per cell]
Os: 0.364 0.729 0.034 [2 per cell]

Summary:
- DFT formation energy: -0.180 eV/atom


# 10
The following is a PBE calculation of PrDyHoSc after structural relaxation, from the Alexandria database.

Cell lengths 3.809, 5.635, 11.530 Å; angles 90.00, 90.00, 90.00 degrees
Space group Imm2 (No. 44)
Unique sites:
Pr: 0.000 0.000 0.000 [2 per cell]
Dy: 0.000 0.500 0.223 [2 per cell]
Ho: 0.000 0.000 0.459 [2 per cell]
Sc: 0.000 0.500 0.732 [2 per cell]

Summary:
- DFT formation energy: 0.111 eV/atom


# 11
The following is a PBE calculation of Pm2Pr4Dy5 after structural relaxation, from the Alexandria database.

Cell lengths 19.408, 5.746, 6.696 Å; angles 90.00, 90.96, 90.00 degrees
Space group C2/m (No. 12)
Unique sites:
Pm: 0.098 0.000 0.054 [4 per cell]
Pr: 0.021 0.500 0.784 [4 per cell]
Pr: 0.195 0.000 0.578 [4 per cell]
Dy: 0.000 0.000 0.500 [2 per cell]
Dy: 0.131 0.500 0.392 [4 per cell]
Dy: 0.210 0.500 0.901 [4 per cell]

Summary:
- DFT formation energy: 0.104 eV/atom
- Distance to the lowest polymorph of the same formula: 0.0000 eV/atom


# 12
The following is a PBE calculation of NaTl6In after structural relaxation, from the Alexandria database.

Cell lengths 7.739, 7.739, 3.963 Å; angles 90.00, 90.00, 90.00 degrees
Space group P4/mmm (No. 123)
Unique sites:
Na: 0.000 0.000 0.000 [1 per cell]
Tl: 0.000 0.500 0.000 [2 per cell]
Tl: 0.254 0.254 0.500 [4 per cell]
In: 0.500 0.500 0.000 [1 per cell]

Summary:
- DFT formation energy: -0.027 eV/atom
- Distance to the lowest polymorph of the same formula: 0.0000 eV/atom


Values for calculated density, Mg/m³, ordered as above
5.7; 6.9; 7.4; 13.4; 6.5; 5.0; 9.4; 10.2; 10.3; 6.9; 7.4; 9.5